Density functional theory data (PBEsol) for K2BaFe after structural relaxation.

Cell lengths 4.119, 5.795, 7.185 Å; angles 90.00, 90.00, 90.00 degrees
Each line ends with the local moment (μB).
Fractional positions:
Ba 0.500 0.500 0.000  -0.10
K 0.000 0.000 0.717  -0.01
Fe 0.500 0.500 0.500  3.09
K 0.000 0.000 0.283  -0.01

Values from the calculation:
The final energy comes out at -9.543 eV for the cell shown. The value obtained for the offset from the most stable computed form is 0.275 eV/atom.

---

Density functional theory data (PBEsol) for NdCuSb2 after structural relaxation.

Cell lengths 4.302, 4.302, 9.972 Å; angles 90.00, 90.00, 90.00 degrees
Fractional positions:
Cu 0.500 0.500 0.500
Sb 0.000 0.000 0.000
Nd 0.500 0.000 0.251
Nd 0.000 0.500 0.749
Sb 0.500 0.500 0.000
Sb 0.500 0.000 0.653
Sb 0.000 0.500 0.347
Cu 0.000 0.000 0.500

Values from the calculation:
The final energy comes out at -42.899 eV for the cell shown. The value obtained for the formation energy from raw total energies is -709 meV per atom.

---

Density functional theory data (PBEsol) for Gd3CuSnS7 after structural relaxation.

Cell lengths 5.978, 9.790, 9.790 Å; angles 120.00, 90.00, 90.00 degrees
Each line ends with the local moment (μB).
Fractional positions:
S 0.492 0.919 0.433  0.01
Gd 0.241 0.858 0.642  -6.89
Gd 0.741 0.216 0.858  -6.89
S 0.492 0.567 0.486  0.01
Cu 0.314 0.000 0.000  0.00
S 0.065 0.667 0.333  0.01
S 0.290 0.106 0.259  0.01
S 0.565 0.333 0.667  0.01
S 0.290 0.741 0.847  0.01
Gd 0.241 0.784 0.142  -6.89
S 0.790 0.847 0.106  0.01
S 0.992 0.081 0.567  0.01
S 0.992 0.486 0.919  0.01
Sn 0.170 0.333 0.667  -0.01
Gd 0.741 0.642 0.784  -6.89
S 0.492 0.514 0.081  0.01
S 0.790 0.894 0.741  0.01
S 0.790 0.259 0.153  0.01
Gd 0.741 0.142 0.358  -6.89
Gd 0.241 0.358 0.216  -6.89
Cu 0.814 0.000 0.000  0.00
S 0.290 0.153 0.894  0.01
S 0.992 0.433 0.514  0.01
Sn 0.670 0.667 0.333  -0.01

Values from the calculation:
The final energy comes out at -200.964 eV for the cell shown. The value obtained for the formation energy from raw total energies is -1488 meV per atom.

---

Density functional theory data (PBEsol) for NaLi2TcCl after structural relaxation.

Cell lengths 4.370, 4.645, 4.645 Å; angles 90.00, 90.00, 90.00 degrees
Each line ends with the local moment (μB).
Fractional positions:
Cl 0.000 0.000 0.000  0.00
Na 0.500 0.500 0.500  -0.01
Li 0.000 0.500 0.000  -0.01
Li 0.000 0.000 0.500  -0.01
Tc 0.500 0.000 0.000  0.38

Values from the calculation:
The final energy comes out at -17.221 eV for the cell shown. The value obtained for the formation energy from raw total energies is 277 meV per atom.

---

Density functional theory data (PBEsol) for CuPBr3 after structural relaxation.

Cell lengths 5.003, 5.003, 5.003 Å; angles 90.00, 90.00, 90.00 degrees
Fractional positions:
Br 0.500 0.000 0.000
Cu 0.500 0.500 0.500
P 0.000 0.000 0.000
Br 0.000 0.500 0.000
Br 0.000 0.000 0.500

Values from the calculation:
The final energy comes out at -13.684 eV for the cell shown. The value obtained for the formation energy from raw total energies is 410 meV per atom.

---

Density functional theory data (PBEsol) for BeTeSe2Br after structural relaxation.

Cell lengths 4.449, 4.760, 4.760 Å; angles 90.00, 90.00, 90.00 degrees
Fractional positions:
Te 0.500 0.500 0.500
Se 0.000 0.500 0.000
Se 0.000 0.000 0.500
Be 0.000 0.000 0.000
Br 0.500 0.000 0.000

Values from the calculation:
The final energy comes out at -16.800 eV for the cell shown. The value obtained for the formation energy from raw total energies is 59 meV per atom.